(1)
Material: BaGa2H6
Method: DFT, PBE
State: optimized geometry

Cell: 5.4229 5.4229 5.4229 Å, 60.00 60.00 60.00°
Atoms (fractional coordinates):
Ba 0.0000 0.0000 0.0000
Ga 0.7500 0.7500 0.7500
Ga 0.2500 0.2500 0.2500
H 0.3760 0.6240 0.6240
H 0.6240 0.6240 0.3760
H 0.6240 0.3760 0.6240
H 0.6240 0.3760 0.3760
H 0.3760 0.3760 0.6240
H 0.3760 0.6240 0.3760

Calculated values
- crystal system = cubic
- space group = Fm-3m
- electronic total energy (eV/atom) = -2.438


(2)
Material: TbPmNdY
Method: DFT, PBE
State: optimized geometry

Cell: 5.1249 5.1262 6.2538 Å, 114.20 114.19 90.00°
Atoms (fractional coordinates):
Tb 0.6955 0.1955 0.3911
Pm 0.9455 0.9455 0.8910
Nd 0.1956 0.6956 0.3912
Y 0.4456 0.4456 0.8911

Calculated values
- offset from the most stable computed form (meV/atom) = 0
- crystal system = tetragonal
- space group = I-4m2
- formation enthalpy at 0 K (eV/atom) = 0.016


(3)
Material: Tc2SbAu
Method: DFT, PBE
State: optimized geometry

Cell: 3.2201 3.2201 6.4954 Å, 90.00 90.00 90.00°
Atoms (fractional coordinates):
Au 0.5000 0.5000 0.2500
Sb 0.5000 0.5000 0.7500
Tc 0.0000 0.0000 0.9840
Tc 0.0000 0.0000 0.5160

Calculated values
- crystal system = tetragonal
- space group = P4/mmm
- uncorrected formation energy (eV/atom) = 0.37


(4)
Material: NaLa3Ir
Method: DFT, PBE
State: optimized geometry

Cell: 24.3571 7.4066 9.4701 Å, 90.00 156.71 90.00°
Atoms (fractional coordinates):
Na 0.4740 0.7087 0.4658
Na 0.5260 0.2913 0.5342
Na 0.0260 0.2087 0.0342
Na 0.9740 0.7913 0.9658
Ir 0.0343 0.2082 0.5993
Ir 0.9657 0.7918 0.4007
Ir 0.4657 0.7082 0.9007
Ir 0.5343 0.2918 0.0993
La 0.1841 0.0067 0.7632
La 0.8159 0.9933 0.2368
La 0.3159 0.5067 0.7368
La 0.6841 0.4933 0.2632
La 0.3028 0.3789 0.3357
La 0.6972 0.6211 0.6643
La 0.1972 0.8789 0.1643
La 0.8028 0.1211 0.8357
La 0.5727 0.9934 0.9908
La 0.4273 0.0066 0.0092
La 0.9273 0.4934 0.5092
La 0.0727 0.5066 0.4908

Calculated values
- offset from the most stable computed form (meV/atom) = 40
- crystal system = monoclinic
- space group = P2_1/c
- formation enthalpy at 0 K (eV/atom) = -0.284


(5)
Material: Mg2C
Method: DFT, PBE
State: optimized geometry

Cell: 5.7855 5.7855 5.7855 Å, 151.50 151.50 40.74°
Atoms (fractional coordinates):
Mg 0.1231 0.1231 0.0000
Mg 0.8769 0.8769 0.0000
C 0.5000 0.5000 0.0000

Calculated values
- offset from the most stable computed form (meV/atom) = 517
- crystal system = tetragonal
- space group = I4/mmm
- formation enthalpy at 0 K (eV/atom) = 0.767


(6)
Material: Li3Ac2PuPd12
Method: DFT, PBE
State: optimized geometry

Cell: 10.1962 10.1962 10.1962 Å, 38.19 38.19 38.19°
Each line ends with the local moment (μB).
Atoms (fractional coordinates):
Li 0.5000 0.0000 0.0000  0.00
Li 0.0000 0.5000 0.0000  0.00
Li 0.0000 0.0000 0.5000  0.00
Ac 0.6318 0.6318 0.6318  0.02
Ac 0.3682 0.3682 0.3682  0.02
Pu 0.0000 0.0000 0.0000  4.93
Pd 0.4061 0.4061 0.8143  -0.01
Pd 0.8687 0.8687 0.4416  -0.05
Pd 0.4416 0.8687 0.8687  -0.05
Pd 0.8143 0.4061 0.4061  -0.01
Pd 0.8687 0.4416 0.8687  -0.05
Pd 0.4061 0.8143 0.4061  -0.01
Pd 0.5939 0.5939 0.1857  -0.01
Pd 0.1313 0.1313 0.5584  -0.05
Pd 0.5584 0.1313 0.1313  -0.05
Pd 0.1857 0.5939 0.5939  -0.01
Pd 0.1313 0.5584 0.1313  -0.05
Pd 0.5939 0.1857 0.5939  -0.01

Calculated values
- crystal system = trigonal
- space group = R-3m
- formation enthalpy at 0 K (eV/atom) = -0.294


(7)
Material: ScInAs2O8
Method: DFT, PBE
State: optimized geometry

Cell: 5.7885 5.7885 5.7885 Å, 106.82 106.82 114.91°
Atoms (fractional coordinates):
Sc 0.2500 0.7500 0.5000
In 0.0000 0.0000 0.0000
As 0.7500 0.2500 0.5000
As 0.5000 0.5000 0.0000
O 0.3790 0.0608 0.3182
O 0.3175 0.5049 0.1873
O 0.3175 0.1302 0.8127
O 0.7426 0.0608 0.6818
O 0.8698 0.6825 0.1873
O 0.9392 0.2574 0.3182
O 0.9392 0.6210 0.6818
O 0.4951 0.6825 0.8127

Calculated values
- crystal system = tetragonal
- space group = I-4m2
- uncorrected formation energy (eV/atom) = -1.78


(8)
Material: PrAgTe2
Method: DFT, PBE
State: optimized geometry

Cell: 4.3301 7.8491 14.2364 Å, 90.00 90.00 90.00°
Atoms (fractional coordinates):
Pr 0.7500 0.1650 0.1520
Pr 0.2500 0.8350 0.8480
Pr 0.7500 0.6650 0.3480
Pr 0.2500 0.3350 0.6520
Ag 0.2500 0.5768 0.0559
Ag 0.2500 0.0768 0.4441
Ag 0.7500 0.4232 0.9441
Ag 0.7500 0.9232 0.5559
Te 0.7500 0.3032 0.4828
Te 0.2500 0.6968 0.5172
Te 0.7500 0.8032 0.0172
Te 0.2500 0.1968 0.9828
Te 0.7500 0.0683 0.7361
Te 0.2500 0.4317 0.2361
Te 0.7500 0.5683 0.7639
Te 0.2500 0.9317 0.2639

Calculated values
- crystal system = orthorhombic
- space group = Pnma
- uncorrected formation energy (eV/atom) = -0.95


(9)
Material: ZnSi2Se
Method: DFT, PBE
State: optimized geometry

Cell: 5.6585 3.5935 3.5935 Å, 90.00 90.00 90.00°
Atoms (fractional coordinates):
Se 0.5000 0.0000 0.5000
Si 0.0000 0.0000 0.0000
Si 0.0000 0.5000 0.5000
Zn 0.5000 0.5000 0.0000

Calculated values
- offset from the most stable computed form (meV/atom) = 355
- crystal system = tetragonal
- space group = P4/mmm
- uncorrected formation energy (eV/atom) = 0.37


(10)
Material: AcY3Fe
Method: DFT, PBE
State: optimized geometry

Cell: 5.3895 5.3895 5.3895 Å, 90.00 90.00 90.00°
Atoms (fractional coordinates):
Y 0.0000 0.5000 0.0000
Y 0.0000 0.0000 0.5000
Y 0.5000 0.0000 0.0000
Ac 0.5000 0.5000 0.5000
Fe 0.0000 0.0000 0.0000

Calculated values
- crystal system = cubic
- space group = Pm-3m
- formation enthalpy at 0 K (eV/atom) = 0.086


(11)
Material: La6Pr12Th
Method: DFT, PBE
State: optimized geometry

Cell: 9.0423 9.0423 9.0423 Å, 98.39 98.39 98.39°
Atoms (fractional coordinates):
La 0.1402 0.1407 0.4051
La 0.8593 0.5949 0.8598
La 0.5949 0.8598 0.8593
La 0.8598 0.8593 0.5949
La 0.1407 0.4051 0.1402
La 0.4051 0.1402 0.1407
Pr 0.5852 0.1708 0.5850
Pr 0.1708 0.5850 0.5852
Pr 0.5850 0.5852 0.1708
Pr 0.4148 0.8292 0.4150
Pr 0.8292 0.4150 0.4148
Pr 0.4150 0.4148 0.8292
Pr 0.2604 0.0004 0.7395
Pr 0.2605 0.7396 0.9996
Pr 0.9996 0.2605 0.7396
Pr 0.7396 0.9996 0.2605
Pr 0.7395 0.2604 0.0004
Pr 0.0004 0.7395 0.2604
Th 0.0000 0.0000 0.0000

Calculated values
- crystal system = trigonal
- space group = R-3m
- formation enthalpy at 0 K (eV/atom) = 0.107


(12)
Material: RbCd2Bi
Method: DFT, PBE
State: optimized geometry

Cell: 5.7731 5.7731 11.4319 Å, 75.37 75.37 90.00°
Atoms (fractional coordinates):
Bi 0.0000 0.0000 0.0000
Bi 0.7500 0.2500 0.5000
Rb 0.5000 0.5000 0.0000
Rb 0.2500 0.7500 0.5000
Cd 0.8757 0.1250 0.2500
Cd 0.8743 0.6250 0.2500
Cd 0.3750 0.1243 0.7500
Cd 0.8750 0.1257 0.7500

Calculated values
- crystal system = tetragonal
- space group = I4_1/amd
- formation enthalpy at 0 K (eV/atom) = -0.061


(13)
Material: Be2ZnCu2
Method: DFT, PBE
State: optimized geometry

Cell: 6.3099 6.3099 2.6954 Å, 90.00 90.00 90.00°
Atoms (fractional coordinates):
Be 0.3723 0.8722 0.0000
Be 0.8722 0.6278 0.0000
Be 0.6278 0.1278 0.0000
Be 0.1278 0.3723 0.0000
Zn 0.0000 0.0000 0.0000
Zn 0.5000 0.5000 0.0000
Cu 0.1636 0.6636 0.5000
Cu 0.6636 0.8364 0.5000
Cu 0.8364 0.3364 0.5000
Cu 0.3364 0.1636 0.5000

Calculated values
- offset from the most stable computed form (meV/atom) = 0
- crystal system = tetragonal
- space group = P4/mbm
- formation enthalpy at 0 K (eV/atom) = -0.058


(14)
Material: Ce4AsRh12
Method: DFT, PBE
State: optimized geometry

Cell: 7.2270 7.2270 7.2270 Å, 109.47 109.47 109.47°
Atoms (fractional coordinates):
Ce 0.0000 0.0000 0.5000
Ce 0.5000 0.0000 0.0000
Ce 0.5000 0.5000 0.5000
Ce 0.0000 0.5000 0.0000
As 0.0000 0.0000 0.0000
Rh 0.0000 0.2845 0.2845
Rh 0.0000 0.7155 0.7155
Rh 0.7155 0.7155 0.0000
Rh 0.2845 0.2845 0.0000
Rh 0.2845 0.0000 0.2845
Rh 0.7155 0.0000 0.7155
Rh 0.5000 0.2500 0.7500
Rh 0.5000 0.7500 0.2500
Rh 0.7500 0.2500 0.5000
Rh 0.2500 0.7500 0.5000
Rh 0.7500 0.5000 0.2500
Rh 0.2500 0.5000 0.7500

Calculated values
- crystal system = cubic
- space group = Im-3m
- formation enthalpy at 0 K (eV/atom) = -0.681


(15)
Material: CdTcIr2
Method: DFT, PBE
State: optimized geometry

Cell: 9.4281 9.4281 9.4281 Å, 17.07 17.07 17.07°
Each line ends with the local moment (μB).
Atoms (fractional coordinates):
Cd 0.7500 0.7500 0.7500  0.00
Ir 0.9956 0.9956 0.9956  0.10
Ir 0.2477 0.2477 0.2477  0.01
Tc 0.5067 0.5067 0.5067  0.01

Calculated values
- crystal system = trigonal
- space group = R3m
- formation enthalpy at 0 K (eV/atom) = 0.160


(16)
Material: SrNd2BiO6
Method: DFT, PBE
State: optimized geometry

Cell: 6.1205 6.1205 6.3437 Å, 61.16 61.16 60.00°
Each line ends with the local moment (μB).
Atoms (fractional coordinates):
Sr 0.8005 0.8005 0.5986  0.01
Nd 0.5276 0.5276 0.4171  0.01
Nd 0.0238 0.0238 0.9286  0.00
Bi 0.3143 0.3143 0.0572  0.12
O 0.6138 0.2174 0.2426  0.16
O 0.2174 0.9261 0.2426  0.16
O 0.9261 0.6138 0.2426  0.16
O 0.3946 0.6958 0.7620  0.07
O 0.6958 0.1476 0.7620  0.07
O 0.1476 0.3946 0.7620  0.07

Calculated values
- crystal system = trigonal
- space group = R3
- uncorrected formation energy (eV/atom) = -2.52


(17)
Material: CsAs2SeBr
Method: DFT, PBE
State: optimized geometry

Cell: 5.3580 5.3580 5.8280 Å, 90.00 90.00 90.00°
Each line ends with the local moment (μB).
Atoms (fractional coordinates):
Cs 0.5000 0.5000 0.5000  0.02
As 0.0000 0.5000 0.0000  0.33
As 0.5000 0.0000 0.0000  0.33
Se 0.0000 0.0000 0.5000  0.12
Br 0.0000 0.0000 0.0000  0.03

Calculated values
- offset from the most stable computed form (meV/atom) = 567
- crystal system = tetragonal
- space group = P4/mmm
- uncorrected formation energy (eV/atom) = 0.52


(18)
Material: Ca2ZnAg
Method: DFT, PBE
State: optimized geometry

Cell: 3.6421 3.7179 8.3413 Å, 63.20 90.00 90.00°
Atoms (fractional coordinates):
Zn 0.5000 0.2500 0.2500
Ca 0.0000 0.9956 0.0041
Ca 0.0000 0.5044 0.4959
Ag 0.5000 0.7500 0.7500

Calculated values
- crystal system = monoclinic
- space group = P2/m
- formation enthalpy at 0 K (eV/atom) = -0.275


(19)
Material: BaSiPt3
Method: DFT, PBE
State: optimized geometry

Cell: 5.5026 6.0605 6.6878 Å, 63.06 91.33 90.01°
Atoms (fractional coordinates):
Ba 0.3494 0.2205 0.2853
Ba 0.3402 0.5036 0.7179
Si 0.0507 0.7465 0.2329
Si 0.6388 0.9776 0.7704
Pt 0.8448 0.3620 0.5016
Pt 0.2075 0.9609 0.8032
Pt 0.4820 0.7632 0.2001
Pt 0.8448 0.8621 0.5016
Pt 0.8447 0.1358 0.0016
Pt 0.8449 0.5883 0.0016

Calculated values
- offset from the most stable computed form (meV/atom) = 0
- crystal system = monoclinic
- space group = C2/m
- uncorrected formation energy (eV/atom) = -0.71


(20)
Material: MnAlCl6
Method: DFT, PBE
State: optimized geometry

Cell: 6.6867 6.6867 6.0066 Å, 88.65 88.65 116.29°
Each line ends with the local moment (μB).
Atoms (fractional coordinates):
Mn 0.0000 0.0000 0.5000  3.65
Al 0.0000 0.0000 0.0000  0.00
Cl 0.2621 0.9832 0.2543  -0.01
Cl 0.9832 0.2621 0.2543  -0.01
Cl 0.0168 0.7379 0.7457  -0.01
Cl 0.7379 0.0168 0.7457  -0.01
Cl 0.2700 0.2700 0.7828  0.07
Cl 0.7300 0.7300 0.2172  0.07

Calculated values
- offset from the most stable computed form (meV/atom) = 0
- crystal system = monoclinic
- space group = C2/m
- uncorrected formation energy (eV/atom) = -1.19